Entry 1:
A relaxed structure of Tc2RhCl. Source: Alexandria via LeMat-Bulk, functional PBE.

```
data_Tc2RhCl
_chemical_formula_sum 'Tc2 Rh1 Cl1'
_cell_length_a 2.7929
_cell_length_b 3.4700
_cell_length_c 6.3763
_cell_angle_alpha 90.00
_cell_angle_beta 90.00
_cell_angle_gamma 90.00
_space_group_name_H-M_alt 'P m m m'
_space_group_IT_number 47
_space_group_name_Hall '-P 2 2'
loop_
_atom_site_label
_atom_site_fract_x
_atom_site_fract_y
_atom_site_fract_z
Tc1 0.0000 0.0000 0.2212
Rh1 0.5000 0.5000 0.0000
Cl1 0.5000 0.5000 0.5000
```

---

Entry 2:
A relaxed structure of TcRhCl2. Source: Alexandria via LeMat-Bulk, functional PBE.

```
data_TcRhCl2
_chemical_formula_sum 'Tc2 Rh2 Cl4'
_cell_length_a 2.8820
_cell_length_b 5.4313
_cell_length_c 8.3087
_cell_angle_alpha 90.00
_cell_angle_beta 90.00
_cell_angle_gamma 90.00
_space_group_name_H-M_alt 'C m m m'
_space_group_IT_number 65
_space_group_name_Hall '-C 2 2'
loop_
_atom_site_label
_atom_site_fract_x
_atom_site_fract_y
_atom_site_fract_z
Tc1 0.0000 0.0000 0.0000
Rh1 0.0000 0.0000 0.5000
Cl1 0.0000 0.5000 0.2351
```

---

Entry 3:
A relaxed structure of TcRh4Cl. Source: Alexandria via LeMat-Bulk, functional PBE.

```
data_TcRh4Cl
_chemical_formula_sum 'Tc4 Rh16 Cl4'
_cell_length_a 7.2804
_cell_length_b 7.2804
_cell_length_c 7.2804
_cell_angle_alpha 90.00
_cell_angle_beta 90.00
_cell_angle_gamma 90.00
_space_group_name_H-M_alt 'F -4 3 m'
_space_group_IT_number 216
_space_group_name_Hall 'F -4 2 3'
loop_
_atom_site_label
_atom_site_fract_x
_atom_site_fract_y
_atom_site_fract_z
Tc1 0.0000 0.0000 0.0000
Rh1 0.1252 0.1252 0.3748
Cl1 0.2500 0.2500 0.7500
```

---

Entry 4:
A relaxed structure of TcRhCl2. Source: Alexandria via LeMat-Bulk, functional PBE.

```
data_TcRhCl2
_chemical_formula_sum 'Tc1 Rh1 Cl2'
_cell_length_a 2.9122
_cell_length_b 4.1613
_cell_length_c 5.4150
_cell_angle_alpha 90.00
_cell_angle_beta 90.00
_cell_angle_gamma 90.00
_space_group_name_H-M_alt 'P m m m'
_space_group_IT_number 47
_space_group_name_Hall '-P 2 2'
loop_
_atom_site_label
_atom_site_fract_x
_atom_site_fract_y
_atom_site_fract_z
Tc1 0.0000 0.0000 0.0000
Rh1 0.5000 0.0000 0.5000
Cl1 0.0000 0.5000 0.5000
Cl2 0.5000 0.5000 0.0000
```

---

Entry 5:
A relaxed structure of TcRhCl2. Source: Alexandria via LeMat-Bulk, functional PBE.

```
data_TcRhCl2
_chemical_formula_sum 'Tc2 Rh2 Cl4'
_cell_length_a 12.5899
_cell_length_b 2.9958
_cell_length_c 4.6310
_cell_angle_alpha 90.00
_cell_angle_beta 97.23
_cell_angle_gamma 90.00
_space_group_name_H-M_alt 'C 1 2/m 1'
_space_group_IT_number 12
_space_group_name_Hall '-C 2y'
loop_
_atom_site_label
_atom_site_fract_x
_atom_site_fract_y
_atom_site_fract_z
Tc1 0.0000 0.0000 0.0000
Rh1 0.0000 0.5000 0.5000
Cl1 0.1388 0.5000 0.2074
```

---

Entry 6:
A relaxed structure of Tc2RhCl. Source: Alexandria via LeMat-Bulk, functional PBE.

```
data_Tc2RhCl
_chemical_formula_sum 'Tc8 Rh4 Cl4'
_cell_length_a 6.2130
_cell_length_b 6.2130
_cell_length_c 6.2130
_cell_angle_alpha 90.00
_cell_angle_beta 90.00
_cell_angle_gamma 90.00
_space_group_name_H-M_alt 'F -4 3 m'
_space_group_IT_number 216
_space_group_name_Hall 'F -4 2 3'
loop_
_atom_site_label
_atom_site_fract_x
_atom_site_fract_y
_atom_site_fract_z
Tc1 0.0000 0.0000 0.0000
Tc2 0.2500 0.2500 0.2500
Rh1 0.0000 0.0000 0.5000
Cl1 0.2500 0.2500 0.7500
```

---

Entry 7:
A relaxed structure of Tc2RhCl. Source: Alexandria via LeMat-Bulk, functional PBE.

```
data_Tc2RhCl
_chemical_formula_sum 'Tc6 Rh3 Cl3'
_cell_length_a 2.8260
_cell_length_b 2.8260
_cell_length_c 25.2685
_cell_angle_alpha 90.00
_cell_angle_beta 90.00
_cell_angle_gamma 120.00
_space_group_name_H-M_alt 'R -3 m'
_space_group_IT_number 166
_space_group_name_Hall '-R 3 2"'
loop_
_atom_site_label
_atom_site_fract_x
_atom_site_fract_y
_atom_site_fract_z
Tc1 0.0000 0.0000 0.2482
Rh1 0.0000 0.0000 0.0000
Cl1 0.0000 0.0000 0.5000
```

---

Entry 8:
A relaxed structure of TcRhCl2. Source: Alexandria via LeMat-Bulk, functional PBE.

```
data_TcRhCl2
_chemical_formula_sum 'Tc2 Rh2 Cl4'
_cell_length_a 3.5933
_cell_length_b 3.5933
_cell_length_c 10.6125
_cell_angle_alpha 90.00
_cell_angle_beta 90.00
_cell_angle_gamma 90.00
_space_group_name_H-M_alt 'I -4 m 2'
_space_group_IT_number 119
_space_group_name_Hall 'I -4 -2'
loop_
_atom_site_label
_atom_site_fract_x
_atom_site_fract_y
_atom_site_fract_z
Tc1 0.0000 0.0000 0.0000
Rh1 0.0000 0.5000 0.2500
Cl1 0.0000 0.0000 0.5000
Cl2 0.0000 0.5000 0.7500
```

---

Number 1: calculated total energy -6.89 eV/atom. Number 2: calculated total energy -4.83 eV/atom. Number 3: calculated total energy -6.11 eV/atom. Number 4: calculated total energy -4.80 eV/atom. Number 5: calculated total energy -5.26 eV/atom. Number 6: calculated total energy -6.64 eV/atom. Number 7: calculated total energy -7.15 eV/atom. Number 8: calculated total energy -4.65 eV/atom.